# Mn5Si | Alexandria | PBEsol | relaxed
data_Mn5Si
_chemical_formula_sum 'Mn10 Si2'
_space_group_name_H-M_alt 'A m m 2'
_space_group_IT_number 38
_cell_length_a 3.9653
_cell_length_b 2.5542
_cell_length_c 12.4363
_cell_angle_alpha 90.00
_cell_angle_beta 90.00
_cell_angle_gamma 90.00
loop_
_space_group_symop_operation_xyz
'x,y,z'
'-x,-y,z'
'-x,y,z'
'x,-y,z'
'x,y+1/2,z+1/2'
'-x,-y+1/2,z+1/2'
'-x,y+1/2,z+1/2'
'x,-y+1/2,z+1/2'
loop_
_atom_site_label
_atom_site_type_symbol
_atom_site_fract_x
_atom_site_fract_y
_atom_site_fract_z
Mn1 Mn 0.0000 0.0000 0.0000
Mn2 Mn 0.0000 0.0000 0.3325
Mn3 Mn 0.0000 0.0000 0.6656
Mn4 Mn 0.5000 0.0000 0.1103
Mn5 Mn 0.5000 0.0000 0.4485
Si1 Si 0.5000 0.0000 0.7829
# calculated density	7.98	g cm⁻³
# N(E_F)	14.91	states/eV per cell
# E_tot	-9.215	eV per atom

=====

# RbMg2Ge2 | Alexandria | PBEsol | relaxed
data_RbMg2Ge2
_chemical_formula_sum 'Rb2 Mg4 Ge4'
_space_group_name_H-M_alt 'I 4/m m m'
_space_group_IT_number 139
_space_group_name_Hall '-I 4 2'
_cell_length_a 4.7341
_cell_length_b 4.7341
_cell_length_c 11.0426
_cell_angle_alpha 90.00
_cell_angle_beta 90.00
_cell_angle_gamma 90.00
loop_
_atom_site_label
_atom_site_type_symbol
_atom_site_fract_x
_atom_site_fract_y
_atom_site_fract_z
Rb1 Rb 0.0000 0.0000 0.0000
Mg1 Mg 0.0000 0.5000 0.2500
Ge1 Ge 0.0000 0.0000 0.3868
# calculated density	3.75	g cm⁻³
# N(E_F)	3.72	states/eV per cell
# E_tot	-3.045	eV per atom

=====

# Sc2AgPt | Alexandria | PBEsol | relaxed
data_Sc2AgPt
_chemical_formula_sum 'Sc6 Ag3 Pt3'
_space_group_name_H-M_alt 'R -3 m'
_space_group_IT_number 166
_space_group_name_Hall '-R 3 2"'
_cell_length_a 3.8476
_cell_length_b 3.8476
_cell_length_c 19.2709
_cell_angle_alpha 90.00
_cell_angle_beta 90.00
_cell_angle_gamma 120.00
loop_
_atom_site_label
_atom_site_type_symbol
_atom_site_fract_x
_atom_site_fract_y
_atom_site_fract_z
Sc1 Sc 0.0000 0.0000 0.2414
Ag1 Ag 0.0000 0.0000 0.0000
Pt1 Pt 0.0000 0.0000 0.5000
# calculated density	7.92	g cm⁻³
# N(E_F)	4.24	states/eV per cell
# E_tot	-6.377	eV per atom

=====

# Co2HN | Alexandria | PBEsol | relaxed
data_Co2HN
_chemical_formula_sum 'Co8 H4 N4'
_space_group_name_H-M_alt 'I -4 2 d'
_space_group_IT_number 122
_space_group_name_Hall 'I -4 2bw'
_cell_length_a 4.0502
_cell_length_b 4.0502
_cell_length_c 7.8106
_cell_angle_alpha 90.00
_cell_angle_beta 90.00
_cell_angle_gamma 90.00
loop_
_atom_site_label
_atom_site_type_symbol
_atom_site_fract_x
_atom_site_fract_y
_atom_site_fract_z
Co1 Co 0.2385 0.2500 0.1250
H1 H 0.0000 0.0000 0.0000
N1 N 0.0000 0.0000 0.5000
# calculated density	6.89	g cm⁻³
# N(E_F)	9.30	states/eV per cell
# E_tot	-6.842	eV per atom

=====

# Be2SiPb | Alexandria | PBEsol | relaxed
data_Be2SiPb
_chemical_formula_sum 'Be2 Si1 Pb1'
_space_group_name_H-M_alt 'P 1 2/m 1'
_space_group_IT_number 10
_cell_length_a 3.0094
_cell_length_b 3.6929
_cell_length_c 6.1731
_cell_angle_alpha 90.00
_cell_angle_beta 100.65
_cell_angle_gamma 90.00
loop_
_space_group_symop_operation_xyz
'x,y,z'
'-x,-y,-z'
'-x,y,-z'
'x,-y,z'
loop_
_atom_site_label
_atom_site_type_symbol
_atom_site_fract_x
_atom_site_fract_y
_atom_site_fract_z
Be1 Be 0.2193 0.0000 0.3550
Si1 Si 0.0000 0.5000 0.5000
Pb1 Pb 0.0000 0.5000 0.0000
# calculated density	6.24	g cm⁻³
# N(E_F)	1.33	states/eV per cell
# E_tot	-3.874	eV per atom

=====

# Hf2Cr3Si | Alexandria | PBEsol | relaxed
data_Hf2Cr3Si
_chemical_formula_sum 'Hf4 Cr6 Si2'
_space_group_name_H-M_alt 'P 63/m m c'
_space_group_IT_number 194
_space_group_name_Hall '-P 6c 2c'
_cell_length_a 4.9099
_cell_length_b 4.9099
_cell_length_c 8.1974
_cell_angle_alpha 90.00
_cell_angle_beta 90.00
_cell_angle_gamma 120.00
loop_
_atom_site_label
_atom_site_type_symbol
_atom_site_fract_x
_atom_site_fract_y
_atom_site_fract_z
Hf1 Hf 0.3333 0.6667 0.0644
Cr1 Cr 0.1728 0.3456 0.7500
Si1 Si 0.0000 0.0000 0.0000
# calculated density	10.50	g cm⁻³
# N(E_F)	11.07	states/eV per cell
# E_tot	-9.957	eV per atom

=====

# CrAg2W | Alexandria | PBEsol | relaxed
data_CrAg2W
_chemical_formula_sum 'Cr2 Ag4 W2'
_space_group_name_H-M_alt 'C m m m'
_space_group_IT_number 65
_space_group_name_Hall '-C 2 2'
_cell_length_a 3.0753
_cell_length_b 4.2200
_cell_length_c 9.3003
_cell_angle_alpha 90.00
_cell_angle_beta 90.00
_cell_angle_gamma 90.00
loop_
_atom_site_label
_atom_site_type_symbol
_atom_site_fract_x
_atom_site_fract_y
_atom_site_fract_z
Cr1 Cr 0.0000 0.0000 0.0000
Ag1 Ag 0.0000 0.5000 0.2403
W1 W 0.0000 0.0000 0.5000
# calculated density	12.43	g cm⁻³
# N(E_F)	8.68	states/eV per cell
# E_tot	-6.949	eV per atom

=====

# MgAgH2 | Alexandria | PBEsol | relaxed
data_MgAgH2
_chemical_formula_sum 'Mg4 Ag4 H8'
_space_group_name_H-M_alt 'F m -3 m'
_space_group_IT_number 225
_space_group_name_Hall '-F 4 2 3'
_cell_length_a 5.5694
_cell_length_b 5.5694
_cell_length_c 5.5694
_cell_angle_alpha 90.00
_cell_angle_beta 90.00
_cell_angle_gamma 90.00
loop_
_atom_site_label
_atom_site_type_symbol
_atom_site_fract_x
_atom_site_fract_y
_atom_site_fract_z
Mg1 Mg 0.0000 0.0000 0.0000
Ag1 Ag 0.0000 0.0000 0.5000
H1 H 0.2500 0.2500 0.2500
# calculated density	5.16	g cm⁻³
# N(E_F)	2.66	states/eV per cell
# E_tot	-2.533	eV per atom